No. 1
## ThWN4 (PBE)

Data for crystalline ThWN4 at its relaxed geometry.

Cell: 5.2368 5.8676 4.9405 Å, 102.51 90.00 90.00°
Closest atoms and distances in Å follow each position.
Fractional coordinates of all 12 atoms:
Th 0.0000 0.5000 0.5000  4 N 2.37-2.61
Th 0.5000 0.0000 0.5000  4 N 2.37-2.61
W 0.5000 0.5000 0.0000  6 N 2.00-2.07
W 0.0000 0.0000 0.0000  6 N 2.00-2.07
N 0.3186 0.7996 0.9963  2 W 2.00-2.04
N 0.1814 0.2996 0.9963  2 W 2.00-2.04
N 0.4812 0.5871 0.4286  1 N 1.38
N 0.9812 0.9129 0.5714  1 N 1.38
N 0.0188 0.0871 0.4286  1 N 1.38
N 0.5188 0.4129 0.5714  1 N 1.38
N 0.8186 0.7004 0.0037  2 W 2.00-2.04
N 0.6814 0.2004 0.0037  2 W 2.00-2.04

Computed properties:
- uncorrected energy (eV for the cell shown) = -114.2
- M_tot (μB/atom) = 0.0000
- uncorrected formation energy (eV/atom) = -0.5679
- crystal system = monoclinic

No. 2
## LiHfRh2O (PBE)

Data for crystalline LiHfRh2O at its relaxed geometry.

Cell: 4.2872 4.0671 4.2872 Å, 90.00 90.00 90.00°
Closest atoms and distances in Å follow each position.
Fractional coordinates of all 5 atoms:
Rh 0.0000 0.0000 0.5000  2 O 2.14
Rh 0.5000 0.0000 0.0000  2 O 2.14
Hf 0.0000 0.5000 0.0000  2 O 2.03
O 0.0000 0.0000 0.0000  2 Hf 2.03, 4 Rh 2.14
Li 0.5000 0.5000 0.5000  8 Rh 2.95, 4 Hf 3.03

Computed properties:
- uncorrected energy (eV for the cell shown) = -34.6
- M_tot (μB/atom) = 0.0000
- uncorrected formation energy (eV/atom) = -0.6105
- crystal system = tetragonal

No. 3
## Rb2HfTlTe4 (PBE)

Data for crystalline Rb2HfTlTe4 at its relaxed geometry.

Cell: 7.4507 8.5272 13.3394 Å, 82.99 73.78 64.10°
Closest atoms and distances in Å follow each position.
Fractional coordinates of all 16 atoms:
Rb 0.1835 0.0000 0.6331  6 Te 3.90-4.10
Rb 0.8165 0.0000 0.3669  6 Te 3.90-4.10
Rb 0.5665 0.5000 0.8669  6 Te 3.90-4.10
Rb 0.9335 0.5000 0.1331  6 Te 3.90-4.10
Hf 0.7500 0.5000 0.5000  4 Te 2.75
Hf 0.0000 0.0000 0.0000  4 Te 2.75
Tl 0.2500 0.5000 0.5000  4 Te 3.10
Tl 0.5000 0.0000 0.0000  4 Te 3.10
Te 0.2598 0.7872 0.1198  1 Hf 2.75
Te 0.1668 0.2128 0.8802  1 Hf 2.75
Te 0.9529 0.7872 0.8802  1 Hf 2.75
Te 0.6204 0.2128 0.1198  1 Hf 2.75
Te 0.4902 0.7128 0.3802  1 Hf 2.75
Te 0.5832 0.2872 0.6198  1 Hf 2.75
Te 0.7971 0.7128 0.6198  1 Hf 2.75
Te 0.1296 0.2872 0.3802  1 Hf 2.75

Computed properties:
- uncorrected energy (eV for the cell shown) = -65.0
- M_tot (μB/atom) = 0.0000
- uncorrected formation energy (eV/atom) = -0.7091
- crystal system = orthorhombic